Computed, not measured: crystalline UInRh at its relaxed geometry at the PBE level of DFT.

Unit cell a=3.210 b=3.210 c=6.365 alpha=104.61 beta=104.61 gamma=90.00
Fractional positions:
U: 0.311 0.311 0.623
Rh: 0.671 0.671 0.343
In: 0.017 0.017 0.035

Values from the calculation:
Volume = 20.4 Å³/atom
Symmetry = I4mm, No. 107
Formation energy = -76 kJ/mol of formula units